# 1
Computed, not measured: a crystal of La2ZnP relaxed with PBEsol at the meta-GGA SCAN level of DFT.

a b c (Å): 4.8995 4.8995 7.8152
angles (deg): 90.00 90.00 90.00
Last column: nearest neighbours and their distance in Å.
Space group I4/mmm (No. 139)
Asymmetric unit:
La 0.0000 0.5000 0.2500 [4 per cell]  4 Zn 3.13, 4 P 3.13, 4 La 3.46
Zn 0.0000 0.0000 0.0000 [2 per cell]  8 La 3.13, 4 P 3.46
P 0.0000 0.0000 0.5000 [2 per cell]  8 La 3.13, 4 Zn 3.46

Calculated values
* crystal system: tetragonal
* energy relative to the elements: -752 meV/atom
* calculated total energy: -28.28 eV per atom

***

# 2
Computed, not measured: a crystal of LaZnP2 relaxed with PBEsol at the meta-GGA SCAN level of DFT.

a b c (Å): 6.7449 6.7449 6.7449
angles (deg): 90.00 90.00 90.00
Last column: nearest neighbours and their distance in Å.
Space group Fm-3m (No. 225)
Asymmetric unit:
La 0.0000 0.0000 0.0000 [4 per cell]  8 P 2.92
Zn 0.0000 0.0000 0.5000 [4 per cell]  8 P 2.92
P 0.2500 0.2500 0.2500 [8 per cell]  4 La 2.92, 4 Zn 2.92

Calculated values
* crystal system: cubic
* energy relative to the elements: -411 meV/atom
* calculated total energy: -19.77 eV per atom

***

# 3
Computed, not measured: a crystal of LaZn4P relaxed with PBEsol at the meta-GGA SCAN level of DFT.

a b c (Å): 7.5608 7.5608 7.5608
angles (deg): 90.00 90.00 90.00
Last column: nearest neighbours and their distance in Å.
Space group F-43m (No. 216)
Asymmetric unit:
La 0.0000 0.0000 0.0000 [4 per cell]  12 Zn 3.14, 4 P 3.27
Zn 0.1234 0.1234 0.3766 [16 per cell]  6 Zn 2.64-2.71
P 0.2500 0.2500 0.7500 [4 per cell]  12 Zn 3.13, 4 La 3.27

Calculated values
* crystal system: cubic
* energy relative to the elements: -37 meV/atom
* calculated total energy: -17.96 eV per atom

***

Q: Number 1 is which compound?
A: La2ZnP

***

Q: What is the energy relative to the elements in the second record?
A: -411 meV/atom

***

Q: The highest calculated total energy belongs to which entry?
A: LaZn4P